A plane-wave DFT calculation with PBE+U was carried out for crystalline Mn3AuO6 at its relaxed geometry.

Properties
crystal system	orthorhombic
electronic total energy	-0.48350	Ry/atom
M_tot	24.00	Bohr magnetons per cell
space-group type	Cmc2_1, No. 36

a = 5.284 Å, b = 6.661 Å, c = 6.661 Å
α = 102.95°, β = 90.00°, γ = 90.00°
Each line ends with the local moment (μB).
Atoms (fractional coordinates):
1 O 0.095 0.684 0.641  -0.13
2 O 0.229 0.110 0.559  -0.14
3 O 0.229 0.441 0.890  -0.14
4 O 0.755 0.277 0.723  0.01
5 O 0.729 0.559 0.110  -0.14
6 O 0.095 0.359 0.316  -0.13
7 O 0.729 0.890 0.441  -0.14
8 O 0.355 0.050 0.950  0.06
9 O 0.595 0.641 0.684  -0.13
10 O 0.255 0.723 0.277  0.01
11 O 0.855 0.950 0.050  0.06
12 O 0.595 0.316 0.359  -0.13
13 Au 0.004 0.131 0.869  0.06
14 Au 0.504 0.869 0.131  0.06
15 Mn 0.406 0.857 0.602  4.07
16 Mn 0.906 0.143 0.398  4.07
17 Mn 0.406 0.398 0.143  4.07
18 Mn 0.906 0.602 0.857  4.07
19 Mn 0.414 0.378 0.622  3.93
20 Mn 0.914 0.622 0.378  3.93